BaCaVP2O9 after structural relaxation, computed with GGA+U.

Properties
**Volume**: 761 Å³ per cell
**Crystal system**: monoclinic
**DOS(E_F)**: 0.000 states/eV/f.u.
**ρ**: 3.8 Mg/m³
**Calculated total energy**: -7.384 eV/atom

The structure in CIF format:
```
data_BaCaVP2O9
_chemical_formula_sum 'Ba4 Ca4 V4 P8 O36'
_cell_length_a 7.417
_cell_length_b 7.164
_cell_length_c 14.629
_cell_angle_alpha 90.00
_cell_angle_beta 101.62
_cell_angle_gamma 90.00
_symmetry_space_group_name_H-M 'P 1 21/c 1'
_symmetry_Int_Tables_number 14
loop_
_symmetry_equiv_pos_as_xyz
'x,y,z'
'-x,-y,-z'
'-x,y+1/2,-z+1/2'
'x,-y+1/2,z+1/2'
loop_
_atom_site_label
_atom_site_type_symbol
_atom_site_fract_x
_atom_site_fract_y
_atom_site_fract_z
Ba1 Ba 0.121 0.232 0.073
Ca1 Ca 0.312 0.019 0.837
V1 V 0.344 0.515 0.835
P1 P 0.038 0.723 0.198
P2 P 0.381 0.727 0.997
O1 O 0.004 0.619 0.625
O2 O 0.132 0.548 0.172
O3 O 0.153 0.716 0.796
O4 O 0.160 0.182 0.282
O5 O 0.245 0.561 0.972
O6 O 0.283 0.583 0.493
O7 O 0.456 0.526 0.747
O8 O 0.479 0.205 0.409
O9 O 0.490 0.724 0.914
```